DFT (PBE) results for crystalline Na8B13C3 at its relaxed geometry.

## Properties
DFT total energy	-4.9756	eV/atom
energy above the lowest structure with this stoichiometry	0.052	eV per atom
energy relative to the elements	22.6	kJ/mol of atoms

a = 5.8884 Å, b = 5.8884 Å, c = 8.6053 Å
α = 90.00°, β = 90.00°, γ = 120.00°
Sites, in units of the cell vectors:
Na (0.0000, 0.0000, 0.2488)
Na (0.0000, 0.0000, 0.7512)
Na (0.5003, 0.0007, 0.2521)
Na (0.5003, 0.0007, 0.7479)
Na (0.5003, 0.4997, 0.2521)
Na (0.5003, 0.4997, 0.7479)
Na (0.9993, 0.4997, 0.2521)
Na (0.9993, 0.4997, 0.7479)
B (0.1590, 0.3179, 0.5000)
B (0.1590, 0.8410, 0.5000)
B (0.1662, 0.3324, 0.0000)
B (0.1662, 0.8338, 0.0000)
B (0.3329, 0.1664, 0.0000)
B (0.3333, 0.6667, 0.0000)
B (0.3333, 0.6667, 0.5000)
B (0.6667, 0.3333, 0.0000)
B (0.6667, 0.3333, 0.5000)
B (0.6676, 0.8338, 0.0000)
B (0.6821, 0.8410, 0.5000)
B (0.8336, 0.1664, 0.0000)
B (0.8336, 0.6671, 0.0000)
C (0.3317, 0.1659, 0.5000)
C (0.8341, 0.1659, 0.5000)
C (0.8341, 0.6683, 0.5000)



DFT (PBE) results for crystalline Nd3Sm6Er2 at its relaxed geometry.

## Properties
DFT total energy	-4.4307	eV/atom
energy relative to the elements	26.4	kJ/mol of atoms

a = 17.1138 Å, b = 17.1138 Å, c = 17.1138 Å
α = 163.83°, β = 163.83°, γ = 22.95°
Sites, in units of the cell vectors:
Nd (0.0000, 0.0000, 0.0000)
Nd (0.2017, 0.2017, 0.0000)
Nd (0.7983, 0.7983, 0.0000)
Sm (0.1194, 0.6194, 0.5000)
Sm (0.3045, 0.3045, 0.0000)
Sm (0.3806, 0.8806, 0.5000)
Sm (0.6194, 0.1194, 0.5000)
Sm (0.6955, 0.6955, 0.0000)
Sm (0.8806, 0.3806, 0.5000)
Er (0.4544, 0.4544, 0.0000)
Er (0.5456, 0.5456, 0.0000)



DFT (PBE) results for crystalline BeNb2PtC at its relaxed geometry.

## Properties
DFT total energy	-8.1031	eV/atom
energy relative to the elements	-26.7	kJ/mol of atoms

a = 4.4417 Å, b = 4.4417 Å, c = 3.4384 Å
α = 90.00°, β = 90.00°, γ = 90.00°
Sites, in units of the cell vectors:
Be (0.0000, 0.0000, 0.0000)
Nb (0.0000, 0.5000, 0.5000)
Nb (0.5000, 0.0000, 0.5000)
Pt (0.5000, 0.5000, 0.0000)
C (0.0000, 0.0000, 0.5000)